Computed, not measured: a geometry-optimized NpZn4Ge structure at the PBE-GGA level of DFT.

formation enthalpy at 0 K: 1.0 eV/f.u.

abc: 5.3687 5.3687 5.3687
angles: 60.00 60.00 60.00
Last column: nearest neighbours and their distance in Å.
Sites, in units of the cell vectors:
Np  0.0000  0.0000  0.0000  12 Zn 3.15, 4 Ge 3.29
Ge  0.2500  0.2500  0.2500  12 Zn 3.15, 4 Np 3.29
Zn  0.6246  0.6246  0.1263  6 Zn 2.68-2.69
Zn  0.6246  0.1263  0.6246  6 Zn 2.68-2.69
Zn  0.6246  0.6246  0.6246  6 Zn 2.68-2.69
Zn  0.1263  0.6246  0.6246  6 Zn 2.68-2.69


Computed, not measured: a geometry-optimized KAu2Cl structure at the PBE-GGA level of DFT.

ΔE to the lowest computed polymorph: 6.1 kJ per mole of atoms
energy relative to the elements, uncorrected: -0.5149 eV/atom

abc: 7.3412 7.3412 7.3412
angles: 151.36 145.82 45.18
Last column: nearest neighbours and their distance in Å.
Sites, in units of the cell vectors:
K  0.2500  0.7500  0.5000  4 Cl 2.82
Au  0.9935  0.9935  0.0000  4 Au 2.83
Au  0.5065  0.5065  0.0000  4 Au 2.83
Cl  0.7500  0.2500  0.5000  4 K 2.82


Record order is preserved below.
Total moment: 4.270; 0.000 Bohr magnetons per cell
Record order is preserved below.
Calculated density: 8.67; 7.32 g/cm3